# TbScAl2 (PBE, relaxed)
# **D(E_F)**: 6.34 states/eV/cell
# **Calculated total energy**: -19.103 eV/f.u.
# **Energy of formation from the pure elements**: -164 meV per atom
# **Excess energy over the best structure of this formula in the dataset**: 256 meV/atom
data_TbScAl2
_space_group_name_H-M_alt 'R -3 m'
_space_group_IT_number 166
_space_group_name_Hall '-R 3 2"'
_cell_length_a 3.4186
_cell_length_b 3.4186
_cell_length_c 27.5737
_cell_angle_alpha 90.00
_cell_angle_beta 90.00
_cell_angle_gamma 120.00
loop_
_atom_site_label
_atom_site_type_symbol
_atom_site_fract_x
_atom_site_fract_y
_atom_site_fract_z
Tb1 Tb 0.0000 0.0000 0.0000
Sc1 Sc 0.0000 0.0000 0.5000
Al1 Al 0.0000 0.0000 0.2459